# Mn2HI2O2, relaxed, DFT PBE+U
# electronic total energy = -38.18 eV/f.u.
# N(E_F) = 2.5 states/eV/f.u.
data_Mn2HI2O2
_chemical_formula_sum 'Mn4 H2 I4 O4'
_cell_length_a 8.748
_cell_length_b 3.486
_cell_length_c 10.297
_cell_angle_alpha 90.00
_cell_angle_beta 92.34
_cell_angle_gamma 90.00
_symmetry_space_group_name_H-M 'C 1 2/m 1'
_symmetry_Int_Tables_number 12
_symmetry_space_group_name_Hall '-C 2y'
loop_
_atom_site_label
_atom_site_type_symbol
_atom_site_fract_x
_atom_site_fract_y
_atom_site_fract_z
Mn1 Mn 0.204 0.000 0.379
H1 H 0.000 0.500 0.500
I1 I 0.131 0.000 0.802
O1 O 0.128 0.500 0.460